(1)
An optimized crystal structure of K2RuPt, computed with PBE-GGA.

Results
theoretical density = 7.3 g/cm3
E_form = 0.775 eV per atom

Lattice parameters (Å, degrees): 2.814 2.814 10.751 90.00 90.00 90.00
Space group P4/mmm (No. 123)
Unique sites:
K 0.000 0.000 0.242 x2
Ru 0.500 0.500 0.500 x1
Pt 0.500 0.500 0.000 x1

(2)
An optimized crystal structure of K2RuPt, computed with PBE-GGA.

Results
theoretical density = 5.3 g/cm3
E_form = 0.580 eV per atom

Lattice parameters (Å, degrees): 4.387 5.686 9.483 90.00 90.00 90.00
Space group Imm2 (No. 44)
Unique sites:
K 0.000 0.000 0.000 x2
K 0.000 0.500 0.197 x2
Ru 0.000 0.000 0.397 x2
Pt 0.000 0.500 0.795 x2

(3)
An optimized crystal structure of K2RuPt, computed with PBE-GGA.

Results
theoretical density = 7.1 g/cm3
E_form = 0.808 eV per atom

Lattice parameters (Å, degrees): 3.990 4.100 10.773 90.00 90.00 90.00
Space group Immm (No. 71)
Unique sites:
K 0.000 0.000 0.246 x4
Ru 0.000 0.500 0.000 x2
Pt 0.000 0.500 0.500 x2

What did we get for offset from the most stable computed form? Answer: 0.386, 0.191, 0.420 eV per atom, in the order shown.